VASP calculation (PBE) on a relaxed structure of Nd5Ho2Sc.

a = 9.0263 Å, b = 9.0263 Å, c = 9.0263 Å
α = 118.87°, β = 118.87°, γ = 91.97°
Last column: nearest neighbours and their distance in Å.
Sites, in units of the cell vectors:
Nd: 0.0000 0.0000 0.0000  2 Sc 3.14
Nd: 0.0138 0.5138 0.1965  3 Nd 3.32-3.50, 3 Ho 3.37-3.42, 2 Sc 3.64
Nd: 0.1827 0.9862 0.5000  3 Nd 3.32-3.50, 3 Ho 3.37-3.42, 2 Sc 3.64
Nd: 0.3173 0.8173 0.8035  3 Nd 3.32-3.50, 3 Ho 3.37-3.42, 2 Sc 3.64
Nd: 0.4862 0.6827 0.5000  3 Nd 3.32-3.50, 3 Ho 3.37-3.42, 2 Sc 3.64
Nd: 0.5000 0.5000 0.0000  2 Sc 3.14
Nd: 0.5138 0.3173 0.5000  3 Nd 3.32-3.50, 3 Ho 3.37-3.42, 2 Sc 3.64
Nd: 0.6827 0.1827 0.1965  3 Nd 3.32-3.50, 3 Ho 3.37-3.42, 2 Sc 3.64
Nd: 0.8173 0.0138 0.5000  3 Nd 3.32-3.50, 3 Ho 3.37-3.42, 2 Sc 3.64
Nd: 0.9862 0.4862 0.8035  3 Nd 3.32-3.50, 3 Ho 3.37-3.42, 2 Sc 3.64
Ho: 0.1436 0.3564 0.5000  8 Nd 3.37-3.53, 1 Ho 3.73
Ho: 0.3564 0.8564 0.2128  8 Nd 3.37-3.53, 1 Ho 3.73
Ho: 0.6436 0.1436 0.7872  8 Nd 3.37-3.53, 1 Ho 3.73
Ho: 0.8564 0.6436 0.5000  8 Nd 3.37-3.53, 1 Ho 3.73
Sc: 0.2500 0.2500 0.0000  2 Nd 3.14
Sc: 0.7500 0.7500 0.0000  2 Nd 3.14

Properties
**Calculated total energy**: -4.795 eV/atom
**DOS at the Fermi energy**: 10.090 states/eV/f.u.
**ΔE_f**: 0.121 eV per atom
**Space group**: No. 140

VASP calculation (PBE) on a relaxed structure of Re2PbN.

a = 6.2664 Å, b = 6.2664 Å, c = 6.2664 Å
α = 90.00°, β = 90.00°, γ = 90.00°
Last column: nearest neighbours and their distance in Å.
Sites, in units of the cell vectors:
Re: 0.2500 0.2500 0.2500  4 Pb 2.71, 4 N 2.71
Re: 0.2500 0.2500 0.7500  4 Pb 2.71, 4 N 2.71
Re: 0.2500 0.7500 0.2500  4 Pb 2.71, 4 N 2.71
Re: 0.2500 0.7500 0.7500  4 Pb 2.71, 4 N 2.71
Re: 0.7500 0.2500 0.2500  4 Pb 2.71, 4 N 2.71
Re: 0.7500 0.2500 0.7500  4 Pb 2.71, 4 N 2.71
Re: 0.7500 0.7500 0.2500  4 Pb 2.71, 4 N 2.71
Re: 0.7500 0.7500 0.7500  4 N 2.71, 4 Pb 2.71
Pb: 0.0000 0.0000 0.0000  8 Re 2.71
Pb: 0.0000 0.5000 0.5000  8 Re 2.71
Pb: 0.5000 0.0000 0.5000  8 Re 2.71
Pb: 0.5000 0.5000 0.0000  8 Re 2.71
N: 0.0000 0.0000 0.5000  8 Re 2.71
N: 0.0000 0.5000 0.0000  8 Re 2.71
N: 0.5000 0.0000 0.0000  8 Re 2.71
N: 0.5000 0.5000 0.5000  8 Re 2.71

Properties
**Calculated total energy**: -7.198 eV/atom
**DOS at the Fermi energy**: 5.670 states/eV/f.u.
**Excess energy over the best structure of this formula in the dataset**: 1.079 eV per atom
**Space group**: No. 225
**Uncorrected formation energy**: 2.035 eV/atom

Question: What is the DOS at the Fermi energy in the first record?
Answer: 10.090 states/eV/f.u.